# 1
Density functional theory data (PBE-GGA) for an optimized crystal structure of NaEr3Tl4.

Summary:
- Crystal system: trigonal
- Energy of formation: -204.5 kJ/mol of formula units

Unit cell a=5.302 b=5.302 c=9.273 alpha=73.39 beta=73.39 gamma=60.00
Atoms (fractional coordinates):
1 Er 0.500 0.500 0.500
2 Tl 0.375 0.375 0.875
3 Tl 0.125 0.125 0.626
4 Tl 0.625 0.625 0.125
5 Er 0.747 0.747 0.759
6 Er 0.253 0.253 0.241
7 Tl 0.875 0.875 0.374
8 Na 0.000 0.000 0.000


# 2
Density functional theory data (PBE-GGA) for an optimized crystal structure of Cu2ReAu.

Summary:
- Crystal system: orthorhombic
- Energy of formation: 164.2 kJ/mol of formula units
- ΔE to the lowest computed polymorph: 216 meV/atom

Unit cell a=5.369 b=5.369 c=5.369 alpha=151.23 beta=129.01 gamma=59.60
Each line ends with the local moment (μB).
Atoms (fractional coordinates):
1 Au 0.242 0.742 0.500  0.02
2 Cu 0.759 0.259 0.500  0.03
3 Re 0.512 0.512 0.000  0.41
4 Cu 0.988 0.988 0.000  0.03


# 3
Density functional theory data (PBE-GGA) for an optimized crystal structure of Np2Ni3As4.

Summary:
- Crystal system: orthorhombic
- Energy of formation: -306.6 kJ/mol of formula units

Unit cell a=5.579 b=5.579 c=6.467 alpha=101.63 beta=101.63 gamma=122.19
Each line ends with the local moment (μB).
Atoms (fractional coordinates):
1 As 0.690 0.009 0.699  -0.03
2 As 0.991 0.310 0.301  -0.03
3 As 0.310 0.991 0.301  -0.03
4 As 0.009 0.690 0.699  -0.03
5 Ni 0.500 0.000 0.000  0.12
6 Np 0.364 0.364 0.727  3.87
7 Ni 0.000 0.000 0.000  0.04
8 Ni 0.000 0.500 0.000  0.12
9 Np 0.636 0.636 0.273  3.87


# 4
Density functional theory data (PBE-GGA) for an optimized crystal structure of Pu2Be4AlSi3.

Summary:
- Crystal system: tetragonal
- Energy relative to the elements, uncorrected: -3.1 eV per formula unit

Unit cell a=3.891 b=3.891 c=9.643 alpha=90.00 beta=90.00 gamma=90.00
Each line ends with the local moment (μB).
Atoms (fractional coordinates):
1 Pu 0.000 0.500 0.756  5.16
2 Be 0.500 0.500 0.000  0.00
3 Pu 0.500 0.000 0.244  5.16
4 Al 0.500 0.500 0.500  -0.02
5 Si 0.500 0.000 0.870  -0.05
6 Be 0.500 0.000 0.639  -0.01
7 Be 0.000 0.000 0.000  0.00
8 Be 0.000 0.500 0.361  -0.01
9 Si 0.000 0.000 0.500  -0.03
10 Si 0.000 0.500 0.130  -0.05


# 5
Density functional theory data (PBE-GGA) for an optimized crystal structure of BeSi2W.

Summary:
- Crystal system: monoclinic
- Energy relative to the elements, uncorrected: 0.7 eV per formula unit

Unit cell a=4.598 b=4.598 c=4.463 alpha=85.34 beta=85.34 gamma=33.91
Atoms (fractional coordinates):
1 Si 0.491 0.491 0.495
2 Be 0.250 0.250 0.250
3 Si 0.009 0.009 0.005
4 W 0.750 0.750 0.750


# 6
Density functional theory data (PBE-GGA) for an optimized crystal structure of HSeS2Cl.

Summary:
- Crystal system: tetragonal
- ΔE to the lowest computed polymorph: 304 meV/atom

Unit cell a=4.832 b=4.832 c=5.155 alpha=90.00 beta=90.00 gamma=90.00
Each line ends with the local moment (μB).
Atoms (fractional coordinates):
1 S 0.000 0.500 0.000  0.20
2 H 0.500 0.500 0.500  0.36
3 Cl 0.000 0.000 0.500  0.08
4 S 0.500 0.000 0.000  0.20
5 Se 0.000 0.000 0.000  -0.01


For the records above, the corresponding theoretical density values read 10.46; 14.75; 10.19; 7.22; 7.88; 2.48 g/cm3.
For the records above, the corresponding DOS(E_F) values read 0.596; 0.963; 1.876; 1.711; 0.484; 1.192 states/eV per atom.